La3TcBi: relaxed, PBE-GGA.

DFT formation energy (eV/f.u.): -1.9
Energy above the lowest structure with this stoichiometry (kJ/mol of formula units): 0
N(E_F) (states/eV/atom): 0.995
VASP energy (eV per cell): -30.93

abc: 5.453 5.453 5.453
angles: 90.00 90.00 90.00
Space group Pm-3m (No. 221)
Unique sites:
La (0.000, 0.000, 0.500)
Tc (0.000, 0.000, 0.000)
Bi (0.500, 0.500, 0.500)



La2TcBi: relaxed, PBE-GGA.

DFT formation energy (eV/f.u.): -0.5
N(E_F) (states/eV/atom): 0.001
VASP energy (eV per cell): -98.55

abc: 8.478 8.478 6.286
angles: 90.00 90.00 90.00
Space group I-42d (No. 122)
Unique sites:
La (0.175, 0.250, 0.125)
Tc (0.000, 0.000, 0.000)
Bi (0.000, 0.000, 0.500)



LaY2TcBi: relaxed, PBE-GGA.

DFT formation energy (eV/f.u.): 3.3
N(E_F) (states/eV/atom): 1.652
VASP energy (eV per cell): -28.80

abc: 5.785 5.785 5.081
angles: 90.00 90.00 90.00
Space group P4/mmm (No. 123)
Unique sites:
La (0.000, 0.000, 0.000)
Y (0.000, 0.500, 0.500)
Tc (0.500, 0.500, 0.000)
Bi (0.500, 0.500, 0.500)



La2YTcBi: relaxed, PBE-GGA.

DFT formation energy (eV/f.u.): -1.6
N(E_F) (states/eV/atom): 0.751
VASP energy (eV per cell): -32.12

abc: 5.339 5.339 5.551
angles: 90.00 90.00 90.00
Space group P4/mmm (No. 123)
Unique sites:
La (0.000, 0.500, 0.000)
Y (0.000, 0.000, 0.500)
Tc (0.000, 0.000, 0.000)
Bi (0.500, 0.500, 0.500)



LaBiTe2: relaxed, PBE-GGA.

N(E_F) (states/eV/atom): 0.301
VASP energy (eV per cell): -53.95
Raw formation energy (eV/atom): -0.723

abc: 4.4354 4.4354 29.8512
angles: 90.00 90.00 120.00
Space group R-3m (No. 166, hexagonal axes)
Unique sites:
La (0.0000, 0.0000, 0.0000)
Bi (0.0000, 0.0000, 0.5000)
Te (0.0000, 0.0000, 0.3973)



LaBi2Te2: relaxed, PBE-GGA.

Energy above the lowest structure with this stoichiometry (kJ/mol of formula units): 9
N(E_F) (states/eV/atom): 0.864
VASP energy (eV per cell): -43.04
Raw formation energy (eV/atom): -0.510

abc: 4.358 4.358 18.665
angles: 90.00 90.00 90.00
Space group I4/mmm (No. 139)
Unique sites:
La (0.000, 0.000, 0.000)
Bi (0.000, 0.500, 0.250)
Te (0.000, 0.000, 0.417)